1.
## La2Pm2Pt3 (PBE-GGA)

Data for La2Pm2Pt3 after structural relaxation.

abc: 7.8482 7.8482 7.8482
angles: 109.47 109.47 109.47
Closest atoms and distances in Å follow each position.
Fractional positions:
La: 0.0000 0.0000 0.8814  3 Pt 2.90
La: 0.5000 0.8814 0.5000  3 Pt 2.90
La: 0.1186 0.6186 0.6186  3 Pt 2.90
La: 0.3814 0.5000 0.0000  3 Pt 2.90
Pm: 0.5000 0.3795 0.5000  3 Pt 2.94
Pm: 0.0000 0.0000 0.3795  3 Pt 2.94
Pm: 0.6205 0.1205 0.1205  3 Pt 2.94
Pm: 0.8795 0.5000 0.0000  3 Pt 2.94
Pt: 0.7500 0.6175 0.3675  2 La 2.90, 2 Pm 2.94
Pt: 0.2500 0.8825 0.1325  2 La 2.90, 2 Pm 2.94
Pt: 0.6325 0.7500 0.8825  2 La 2.90, 2 Pm 2.94
Pt: 0.8675 0.2500 0.6175  2 La 2.90, 2 Pm 2.94
Pt: 0.3825 0.1325 0.7500  2 La 2.90, 2 Pm 2.94
Pt: 0.1175 0.3675 0.2500  2 La 2.90, 2 Pm 2.94

formation energy from the elements: -1.02 eV/atom
crystal system: cubic
space-group type: I2_13, No. 199

2.
## LaPm2Pt (PBE-GGA)

Data for LaPm2Pt after structural relaxation.

abc: 4.7296 4.7296 6.6801
angles: 69.27 69.27 60.00
Closest atoms and distances in Å follow each position.
Fractional positions:
La: 0.5000 0.5000 0.5000  6 Pm 3.34
Pt: 0.0000 0.0000 0.0000  6 Pm 2.95
Pm: 0.2722 0.2722 0.1833  3 Pt 2.95
Pm: 0.7278 0.7278 0.8167  3 Pt 2.95

formation energy from the elements: -0.31 eV/atom
crystal system: trigonal
space-group type: R-3m, No. 166

3.
## La2PmPt (PBE-GGA)

Data for La2PmPt after structural relaxation.

abc: 4.0636 4.0636 9.7565
angles: 77.89 77.89 59.92
Closest atoms and distances in Å follow each position.
Fractional positions:
La: 0.0619 0.0619 0.8138  3 Pt 2.94
La: 0.2718 0.2718 0.1858  3 Pt 2.92-2.93
Pm: 0.4998 0.4998 0.4995  6 La 3.78-3.79, 6 Pm 4.06
Pt: 0.6664 0.6664 0.0008  6 La 2.92-2.94

formation energy from the elements: -0.50 eV/atom
crystal system: monoclinic
space-group type: Cm, No. 8

4.
## LaPmPt (PBE-GGA)

Data for LaPmPt after structural relaxation.

abc: 4.4970 4.7121 4.7121
angles: 120.00 90.00 90.00
Closest atoms and distances in Å follow each position.
Fractional positions:
La: 0.7230 0.6667 0.3333  3 Pt 3.04
Pt: 0.0236 0.0000 0.0000  3 Pm 2.91, 3 La 3.04
Pm: 0.2534 0.3333 0.6667  3 Pt 2.91

formation energy from the elements: -0.64 eV/atom
crystal system: trigonal
space-group type: P3m1, No. 156

5.
## LaPm3Pt3 (PBE-GGA)

Data for LaPm3Pt3 after structural relaxation.

abc: 8.8102 8.8102 7.7409
angles: 55.31 55.31 60.00
Closest atoms and distances in Å follow each position.
Fractional positions:
La: 0.3306 0.3306 0.0081  6 Pt 2.94-3.08
La: 0.6694 0.6694 0.9919  6 Pt 2.94-3.08
Pm: 0.3656 0.8215 0.6999  5 Pt 2.93-3.17
Pm: 0.8215 0.1129 0.6999  5 Pt 2.93-3.17
Pm: 0.1129 0.3656 0.6999  5 Pt 2.93-3.17
Pm: 0.8871 0.6344 0.3001  5 Pt 2.93-3.17
Pm: 0.1785 0.8871 0.3001  5 Pt 2.93-3.17
Pm: 0.6344 0.1785 0.3001  5 Pt 2.93-3.17
Pt: 0.3037 0.5543 0.2016  5 Pm 2.93-3.17, 2 La 2.94-3.08, 1 Pt 3.23
Pt: 0.9405 0.3037 0.2016  5 Pm 2.93-3.17, 2 La 2.94-3.08, 1 Pt 3.23
Pt: 0.5543 0.9405 0.2016  5 Pm 2.93-3.17, 2 La 2.94-3.08, 1 Pt 3.23
Pt: 0.4457 0.0595 0.7984  5 Pm 2.93-3.17, 2 La 2.94-3.08, 1 Pt 3.23
Pt: 0.0595 0.6963 0.7984  5 Pm 2.93-3.17, 2 La 2.94-3.08, 1 Pt 3.23
Pt: 0.6963 0.4457 0.7984  5 Pm 2.93-3.17, 2 La 2.94-3.08, 1 Pt 3.23

formation energy from the elements: -1.00 eV/atom
crystal system: trigonal
space-group type: R-3, No. 148

6.
## LaPm2Pt (PBE-GGA)

Data for LaPm2Pt after structural relaxation.

abc: 3.6556 3.6556 8.9444
angles: 90.00 90.00 90.00
Closest atoms and distances in Å follow each position.
Fractional positions:
La: 0.5000 0.5000 0.5000  4 La 3.66, 8 Pm 3.81
Pt: 0.5000 0.5000 0.0000  8 Pm 3.08
Pm: 0.0000 0.0000 0.8131  4 Pt 3.08, 1 Pm 3.34
Pm: 0.0000 0.0000 0.1870  4 Pt 3.08, 1 Pm 3.34

formation energy from the elements: -0.52 eV/atom
crystal system: tetragonal
space-group type: P4/mmm, No. 123

7.
## LaPm6Pt4 (PBE-GGA)

Data for LaPm6Pt4 after structural relaxation.

abc: 6.0240 6.0238 9.2524
angles: 104.99 105.00 103.27
Closest atoms and distances in Å follow each position.
Fractional positions:
La: 0.0631 0.0631 0.9766  1 Pt 2.84, 2 Pm 3.13
Pm: 0.0437 0.5888 0.6367  5 Pt 2.94-3.21
Pm: 0.5888 0.0438 0.6367  5 Pt 2.94-3.21
Pm: 0.9494 0.9493 0.3734  3 Pt 2.86-2.99
Pm: 0.9019 0.5277 0.0111  3 Pt 2.93-3.16, 2 La 3.13-3.27
Pm: 0.4252 0.4253 0.3577  5 Pt 2.96-3.09
Pm: 0.5277 0.9019 0.0111  3 Pt 2.93-3.16, 2 La 3.13-3.27
Pt: 0.8843 0.3819 0.2878  7 Pm 2.93-3.21
Pt: 0.5716 0.5716 0.7088  7 Pm 2.96-3.11, 1 Pt 3.07
Pt: 0.3819 0.8844 0.2878  7 Pm 2.93-3.21
Pt: 0.1625 0.1625 0.7122  1 La 2.84, 3 Pm 2.86-3.02, 1 Pt 3.07

formation energy from the elements: -0.75 eV/atom
crystal system: monoclinic
space-group type: Cm, No. 8

8.
## La2PmPt2 (PBE-GGA)

Data for La2PmPt2 after structural relaxation.

abc: 4.1192 8.0537 8.0537
angles: 90.00 90.00 90.00
Closest atoms and distances in Å follow each position.
Fractional positions:
La: 0.5000 0.1635 0.6635  6 Pt 3.07-3.18
La: 0.5000 0.6635 0.8365  6 Pt 3.07-3.18
La: 0.5000 0.8365 0.3365  6 Pt 3.07-3.18
La: 0.5000 0.3365 0.1635  6 Pt 3.07-3.18
Pm: 0.0000 0.0000 0.0000  4 Pt 3.13
Pm: 0.0000 0.5000 0.5000  4 Pt 3.13
Pt: 0.0000 0.3633 0.8633  6 La 3.07-3.18, 1 Pt 3.11, 2 Pm 3.13
Pt: 0.0000 0.8633 0.6367  6 La 3.07-3.18, 1 Pt 3.11, 2 Pm 3.13
Pt: 0.0000 0.6367 0.1367  6 La 3.07-3.18, 1 Pt 3.11, 2 Pm 3.13
Pt: 0.0000 0.1367 0.3633  6 La 3.07-3.18, 1 Pt 3.11, 2 Pm 3.13

formation energy from the elements: -0.97 eV/atom
crystal system: tetragonal
space-group type: P4/mbm, No. 127

9.
## LaPmPtRh (PBE-GGA)

Data for LaPmPtRh after structural relaxation.

abc: 5.0769 5.0769 5.0769
angles: 60.00 60.00 60.00
Closest atoms and distances in Å follow each position.
Fractional positions:
La: 0.5000 0.5000 0.5000  4 Rh 3.11, 4 Pt 3.11
Rh: 0.2500 0.2500 0.2500  4 Pm 3.11, 4 La 3.11
Pt: 0.7500 0.7500 0.7500  4 La 3.11, 4 Pm 3.11
Pm: 0.0000 0.0000 0.0000  4 Pt 3.11, 4 Rh 3.11

formation energy from the elements: -0.88 eV/atom
crystal system: cubic
space-group type: F-43m, No. 216

10.
## LaPmPtRh (PBE-GGA)

Data for LaPmPtRh after structural relaxation.

abc: 3.9354 4.4862 5.7671
angles: 90.00 109.95 90.00
Closest atoms and distances in Å follow each position.
Fractional positions:
La: 0.1440 0.0000 0.2881  1 Rh 2.84, 4 Pt 3.05
Pm: 0.8647 0.5000 0.7293  4 Rh 3.02, 3 Pt 3.03-3.10
Pt: 0.5855 0.5000 0.1710  2 Rh 2.97, 3 Pm 3.03-3.10, 4 La 3.05
Rh: 0.4058 0.0000 0.8116  1 La 2.84, 2 Pt 2.97, 4 Pm 3.02

formation energy from the elements: -0.97 eV/atom
crystal system: orthorhombic
space-group type: Amm2, No. 38

11.
## LaPmRuPt (PBE-GGA)

Data for LaPmRuPt after structural relaxation.

abc: 5.0578 5.0578 5.0578
angles: 60.00 60.00 60.00
Closest atoms and distances in Å follow each position.
Fractional positions:
Ru: 0.2500 0.2500 0.2500  4 La 3.10, 4 Pm 3.10
La: 0.5000 0.5000 0.5000  4 Pt 3.10, 4 Ru 3.10
Pt: 0.7500 0.7500 0.7500  4 La 3.10, 4 Pm 3.10
Pm: 0.0000 0.0000 0.0000  4 Ru 3.10, 4 Pt 3.10

formation energy from the elements: -0.58 eV/atom
crystal system: cubic
space-group type: F-43m, No. 216

12.
## La2PmSb3Pt4 (PBE-GGA)

Data for La2PmSb3Pt4 after structural relaxation.

abc: 4.6129 4.6129 11.4200
angles: 90.00 90.00 90.00
Closest atoms and distances in Å follow each position.
Fractional positions:
La: 0.5000 0.0000 0.2123  8 Pt 3.35-3.64, 4 Sb 3.41
La: 0.0000 0.5000 0.7877  8 Pt 3.35-3.64, 4 Sb 3.41
Pm: 0.5000 0.5000 0.5000  4 Pt 2.85
Sb: 0.0000 0.0000 0.5000  4 Pt 2.85
Sb: 0.5000 0.0000 0.8739  5 Pt 2.59-2.72
Sb: 0.0000 0.5000 0.1261  5 Pt 2.59-2.72
Pt: 0.5000 0.5000 0.0000  4 Sb 2.72
Pt: 0.0000 0.0000 0.0000  4 Sb 2.72
Pt: 0.5000 0.0000 0.6468  3 Sb 2.59-2.85, 2 Pm 2.85
Pt: 0.0000 0.5000 0.3532  3 Sb 2.59-2.85, 2 Pm 2.85

formation energy from raw total energies: -94.0 kJ/mol of atoms
crystal system: tetragonal
space-group type: P-4m2, No. 115

What are the total moment values for these records? In order: 0.00 0.00 0.00 0.00 0.00 0.00 0.00 0.00 0.00 0.00 0.00 0.00 μB/f.u..